Entry 1:
{"formula": "Ta3TiH4", "functional": "GGA-PBE", "state": "optimized geometry", "dft_energy_ev_per_atom": -7.338, "lattice_angstrom": [[6.7789, 0.0000, 0.0000], [0.0000, 4.8356, 0.0000], [0.0000, 0.0000, 4.9277]], "species": ["Ta", "Ta", "Ta", "Ta", "Ta", "Ta", "Ti", "Ti", "H", "H", "H", "H", "H", "H", "H", "H"], "frac_coords": [[0.0000, 0.2487, 0.9996], [0.2499, 0.2516, 0.5000], [0.2501, 0.7484, 0.0000], [0.5000, 0.7513, 0.4996], [0.7501, 0.2516, 0.5000], [0.7499, 0.7484, 0.0000], [0.0000, 0.7499, 0.5004], [0.5000, 0.2501, 0.0004], [0.0000, 0.3826, 0.3691], [0.0000, 0.6245, 0.8620], [0.2455, 0.8760, 0.3697], [0.2545, 0.1240, 0.8697], [0.5000, 0.3755, 0.3620], [0.5000, 0.6174, 0.8691], [0.7455, 0.1240, 0.8697], [0.7545, 0.8760, 0.3697]]}

=====

Entry 2:
{"formula": "Fe2SbN", "functional": "GGA-PBE", "state": "optimized geometry", "dft_energy_ev_per_atom": -6.217, "lattice_angstrom": [[0.0000, 2.9109, 2.9109], [2.9109, 0.0000, 2.9109], [2.9109, 2.9109, 0.0000]], "species": ["Fe", "Fe", "Sb", "N"], "frac_coords": [[0.2500, 0.2500, 0.2500], [0.7500, 0.7500, 0.7500], [0.0000, 0.0000, 0.0000], [0.5000, 0.5000, 0.5000]]}

=====

Entry 3:
{"formula": "Hf2SiCl", "functional": "GGA-PBE", "state": "optimized geometry", "dft_energy_ev_per_atom": -7.212, "lattice_angstrom": [[0.0000, 3.2985, 3.2985], [3.2985, 0.0000, 3.2985], [3.2985, 3.2985, 0.0000]], "species": ["Hf", "Hf", "Si", "Cl"], "frac_coords": [[0.2500, 0.2500, 0.2500], [0.7500, 0.7500, 0.7500], [0.0000, 0.0000, 0.0000], [0.5000, 0.5000, 0.5000]]}

=====

Entry 4:
{"formula": "CrRePb2", "functional": "GGA-PBE", "state": "optimized geometry", "formation_energy_mev_per_atom": 986, "lattice_angstrom": [[4.7194, 0.0000, 0.0000], [0.0000, 4.7194, 0.0000], [0.0000, 0.0000, 3.5547]], "species": ["Cr", "Re", "Pb", "Pb"], "frac_coords": [[0.0000, 0.0000, 0.0000], [0.5000, 0.5000, 0.0000], [0.0000, 0.5000, 0.5000], [0.5000, 0.0000, 0.5000]]}

=====

Entry 5:
{"formula": "Co3C4", "functional": "GGA-PBE", "state": "optimized geometry", "formation_energy_mev_per_atom": 1188, "lattice_angstrom": [[4.3303, 0.0000, 0.0000], [0.0000, 4.3303, 0.0000], [0.0000, 0.0000, 4.3303]], "species": ["Co", "Co", "Co", "C", "C", "C", "C"], "frac_coords": [[0.0000, 0.0000, 0.5000], [0.0000, 0.5000, 0.0000], [0.5000, 0.0000, 0.0000], [0.2192, 0.2192, 0.2192], [0.2192, 0.7808, 0.7808], [0.7808, 0.2192, 0.7808], [0.7808, 0.7808, 0.2192]]}

=====

Entry 6:
{"formula": "SmCd2Au8", "functional": "GGA-PBE", "state": "optimized geometry", "formation_energy_mev_per_atom": -301, "lattice_angstrom": [[6.7050, -2.4189, 0.0000], [6.7050, 2.4189, 0.0000], [-4.5346, 0.0000, 6.8467]], "species": ["Sm", "Cd", "Cd", "Au", "Au", "Au", "Au", "Au", "Au", "Au", "Au"], "frac_coords": [[0.0000, 0.0000, 0.0000], [0.3163, 0.3163, 0.2884], [0.6837, 0.6837, 0.7116], [0.0713, 0.0713, 0.7137], [0.1844, 0.1844, 0.4804], [0.3238, 0.3238, 0.9367], [0.4472, 0.4472, 0.7205], [0.5528, 0.5528, 0.2795], [0.6762, 0.6762, 0.0633], [0.8156, 0.8156, 0.5196], [0.9287, 0.9287, 0.2863]]}

=====

Entry 7:
{"formula": "Hf4GePd", "functional": "GGA-PBE", "state": "optimized geometry", "formation_energy_mev_per_atom": 191, "lattice_angstrom": [[-4.2471, 4.2471, 4.0313], [4.2471, -4.2471, 4.0313], [4.2471, 4.2471, -4.0313]], "species": ["Hf", "Hf", "Hf", "Hf", "Hf", "Hf", "Hf", "Hf", "Ge", "Ge", "Pd", "Pd"], "frac_coords": [[0.1996, 0.5035, 0.6962], [0.2535, 0.0573, 0.8038], [0.2535, 0.4496, 0.1962], [0.2998, 0.0000, 0.2998], [0.7002, 0.0000, 0.7002], [0.7500, 0.5498, 0.7998], [0.7500, 0.9502, 0.2002], [0.8073, 0.5035, 0.3038], [0.2530, 0.7530, 0.5000], [0.5030, 0.5030, 0.0000], [0.0020, 0.0020, 0.0000], [0.7520, 0.2520, 0.5000]]}

=====

Entry 8:
{"formula": "Pm3Er3ScS8", "functional": "GGA-PBE", "state": "optimized geometry", "dft_energy_ev_per_atom": -6.518, "lattice_angstrom": [[3.9012, 2.2524, 6.4793], [-3.9012, 2.2524, 6.4793], [0.0000, -4.5047, 6.4793]], "species": ["Pm", "Pm", "Pm", "Er", "Er", "Er", "Sc", "S", "S", "S", "S", "S", "S", "S", "S"], "frac_coords": [[0.0000, 0.5000, 0.5000], [0.5000, 0.0000, 0.5000], [0.5000, 0.5000, 0.0000], [0.0000, 0.0000, 0.5000], [0.0000, 0.5000, 0.0000], [0.5000, 0.0000, 0.0000], [0.5000, 0.5000, 0.5000], [0.2449, 0.2449, 0.2449], [0.2494, 0.7408, 0.7408], [0.2592, 0.2592, 0.7506], [0.2592, 0.7506, 0.2592], [0.7408, 0.2494, 0.7408], [0.7408, 0.7408, 0.2494], [0.7506, 0.2592, 0.2592], [0.7551, 0.7551, 0.7551]]}

=====

Entry 9:
{"formula": "CaZn2Os", "functional": "GGA-PBE", "state": "optimized geometry", "formation_energy_mev_per_atom": 106, "lattice_angstrom": [[2.8012, 0.0000, 0.0000], [0.0000, 4.0226, 0.0000], [0.0000, 0.0000, 6.0867]], "species": ["Ca", "Zn", "Zn", "Os"], "frac_coords": [[0.0000, 0.0000, 0.0000], [0.5000, 0.5000, 0.2953], [0.5000, 0.5000, 0.7047], [0.0000, 0.0000, 0.5000]]}

=====

Entry 10:
{"formula": "CaTbHgBi", "functional": "GGA-PBE", "state": "optimized geometry", "formation_energy_mev_per_atom": -542, "lattice_angstrom": [[0.0000, 3.8493, 3.8493], [3.8493, 0.0000, 3.8493], [3.8493, 3.8493, 0.0000]], "species": ["Ca", "Tb", "Hg", "Bi"], "frac_coords": [[0.0000, 0.0000, 0.0000], [0.5000, 0.5000, 0.5000], [0.7500, 0.7500, 0.7500], [0.2500, 0.2500, 0.2500]]}

=====

Entry 11:
{"formula": "PrSm6Y3", "functional": "GGA-PBE", "state": "optimized geometry", "formation_energy_mev_per_atom": 126, "lattice_angstrom": [[4.9137, -10.6861, 0.0000], [4.9137, 10.6861, 0.0000], [0.0000, 0.0000, 6.4746]], "species": ["Pr", "Pr", "Sm", "Sm", "Sm", "Sm", "Sm", "Sm", "Sm", "Sm", "Sm", "Sm", "Sm", "Sm", "Y", "Y", "Y", "Y", "Y", "Y"], "frac_coords": [[0.1594, 0.8406, 0.5000], [0.8406, 0.1594, 0.0000], [0.0150, 0.9850, 0.7052], [0.1073, 0.5438, 0.1762], [0.2613, 0.3794, 0.9328], [0.3005, 0.6995, 0.7107], [0.3794, 0.2613, 0.4328], [0.4562, 0.8927, 0.1762], [0.5438, 0.1073, 0.6762], [0.6206, 0.7387, 0.9328], [0.6995, 0.3005, 0.2107], [0.7387, 0.6206, 0.4328], [0.8927, 0.4562, 0.6762], [0.9850, 0.0150, 0.2052], [0.0423, 0.2964, 0.5220], [0.2964, 0.0423, 0.0220], [0.4191, 0.5809, 0.4105], [0.5809, 0.4191, 0.9105], [0.7036, 0.9577, 0.5220], [0.9577, 0.7036, 0.0220]]}

=====

Entry 12:
{"formula": "Cs2TiSnO4", "functional": "GGA-PBE", "state": "optimized geometry", "dft_energy_ev_per_atom": -6.260, "lattice_angstrom": [[6.2321, 0.0000, 0.0000], [0.0000, 8.1480, 0.0000], [0.0000, 0.0000, 7.0259]], "species": ["Cs", "Cs", "Cs", "Cs", "Ti", "Ti", "Sn", "Sn", "O", "O", "O", "O", "O", "O", "O", "O"], "frac_coords": [[0.2500, 0.0116, 0.2096], [0.2500, 0.4884, 0.2096], [0.7500, 0.5116, 0.7904], [0.7500, 0.9884, 0.7904], [0.2500, 0.7500, 0.6289], [0.7500, 0.2500, 0.3711], [0.2500, 0.2500, 0.7174], [0.7500, 0.7500, 0.2826], [0.0002, 0.2500, 0.5220], [0.9998, 0.7500, 0.4780], [0.2500, 0.5643, 0.7690], [0.2500, 0.9357, 0.7690], [0.4998, 0.2500, 0.5220], [0.5002, 0.7500, 0.4780], [0.7500, 0.0643, 0.2310], [0.7500, 0.4357, 0.2310]]}

=====

Entry 13:
{"formula": "Ta2CuRe2", "functional": "GGA-PBE", "state": "optimized geometry", "formation_energy_mev_per_atom": 704, "lattice_angstrom": [[-1.7873, 1.7873, 7.0117], [1.7873, -1.7873, 7.0117], [1.7873, 1.7873, -7.0117]], "species": ["Ta", "Ta", "Cu", "Re", "Re"], "frac_coords": [[0.0967, 0.0967, 0.0000], [0.9033, 0.9033, 0.0000], [0.5000, 0.5000, 0.0000], [0.2500, 0.7500, 0.5000], [0.7500, 0.2500, 0.5000]]}

=====

Entry 14:
{"formula": "HoPa2VN5", "functional": "GGA-PBE", "state": "optimized geometry", "dft_energy_ev_per_atom": -9.641, "lattice_angstrom": [[1.6745, -6.8064, 0.0000], [1.6745, 6.8064, 0.0000], [0.0000, 0.0000, 10.1825]], "species": ["Ho", "Ho", "Pa", "Pa", "Pa", "Pa", "V", "V", "N", "N", "N", "N", "N", "N", "N", "N", "N", "N"], "frac_coords": [[0.2063, 0.7937, 0.5000], [0.7937, 0.2063, 0.0000], [0.1110, 0.8890, 0.1861], [0.1407, 0.8593, 0.7957], [0.8593, 0.1407, 0.2957], [0.8890, 0.1110, 0.6861], [0.4838, 0.5162, 0.9653], [0.5162, 0.4838, 0.4653], [0.0388, 0.9612, 0.5518], [0.2835, 0.7165, 0.1696], [0.3312, 0.6688, 0.8480], [0.3733, 0.6267, 0.5038], [0.4810, 0.5190, 0.2809], [0.5190, 0.4810, 0.7809], [0.6267, 0.3733, 0.0038], [0.6688, 0.3312, 0.3480], [0.7165, 0.2835, 0.6696], [0.9612, 0.0388, 0.0518]]}

=====

Entry 15:
{"formula": "KAl2Tc", "functional": "GGA-PBE", "state": "optimized geometry", "formation_energy_mev_per_atom": 330, "lattice_angstrom": [[3.4839, 0.0000, 0.0000], [0.0000, 3.4839, 0.0000], [0.0000, 0.0000, 8.0451]], "species": ["K", "Al", "Al", "Tc"], "frac_coords": [[0.0000, 0.0000, 0.0000], [0.0000, 0.0000, 0.4077], [0.5000, 0.5000, 0.6498], [0.5000, 0.5000, 0.3534]]}

=====

Entry 16:
{"formula": "PaMnZnCu", "functional": "GGA-PBE", "state": "optimized geometry", "formation_energy_mev_per_atom": 173, "lattice_angstrom": [[0.0000, 3.2215, 3.2215], [3.2215, 0.0000, 3.2215], [3.2215, 3.2215, 0.0000]], "species": ["Pa", "Mn", "Zn", "Cu"], "frac_coords": [[0.0000, 0.0000, 0.0000], [0.7500, 0.7500, 0.7500], [0.5000, 0.5000, 0.5000], [0.2500, 0.2500, 0.2500]]}

=====

Entry 17:
{"formula": "UTc", "functional": "GGA-PBE", "state": "optimized geometry", "formation_energy_mev_per_atom": 524, "lattice_angstrom": [[9.3532, -1.4664, 0.0000], [9.3532, 1.4664, 0.0000], [-0.3760, 0.0000, 2.7897]], "species": ["U", "U", "Tc", "Tc"], "frac_coords": [[0.1824, 0.1824, 0.1800], [0.8176, 0.8176, 0.8200], [0.0646, 0.0646, 0.8038], [0.9354, 0.9354, 0.1962]]}

=====

Entry 18:
{"formula": "Co3NiCl", "functional": "GGA-PBE", "state": "optimized geometry", "dft_energy_ev_per_atom": -4.885, "lattice_angstrom": [[4.0595, 0.0000, 0.0000], [0.0000, 4.0595, 0.0000], [0.0000, 0.0000, 4.0595]], "species": ["Co", "Co", "Co", "Ni", "Cl"], "frac_coords": [[0.0000, 0.0000, 0.5000], [0.0000, 0.5000, 0.0000], [0.5000, 0.0000, 0.0000], [0.5000, 0.5000, 0.5000], [0.0000, 0.0000, 0.0000]]}

=====

Entry 19:
{"formula": "Ag3Pd4Au4", "functional": "GGA-PBE", "state": "optimized geometry", "formation_energy_mev_per_atom": 4, "lattice_angstrom": [[-1.4054, 2.3353, 14.5717], [1.4054, -2.3353, 14.5717], [1.4054, 2.3353, -14.5717]], "species": ["Ag", "Ag", "Ag", "Pd", "Pd", "Pd", "Pd", "Au", "Au", "Au", "Au"], "frac_coords": [[0.0000, 0.0000, 0.0000], [0.3612, 0.8612, 0.5000], [0.6388, 0.1388, 0.5000], [0.0916, 0.5916, 0.5000], [0.2679, 0.2679, 0.0000], [0.7321, 0.7321, 0.0000], [0.9084, 0.4084, 0.5000], [0.1834, 0.6834, 0.5000], [0.4530, 0.4530, 0.0000], [0.5470, 0.5470, 0.0000], [0.8166, 0.3166, 0.5000]]}

=====

Entry 20:
{"formula": "CeZn9Au2", "functional": "GGA-PBE", "state": "optimized geometry", "formation_energy_mev_per_atom": -164, "lattice_angstrom": [[8.7749, 0.0000, 0.0000], [-4.3874, 7.5993, 0.0000], [0.0000, 0.0000, 3.1327]], "species": ["Ce", "Zn", "Zn", "Zn", "Zn", "Zn", "Zn", "Zn", "Zn", "Zn", "Au", "Au"], "frac_coords": [[0.0000, 0.0000, 0.0000], [0.0000, 0.5000, 0.0000], [0.1824, 0.3648, 0.5000], [0.1824, 0.8176, 0.5000], [0.3648, 0.1824, 0.5000], [0.5000, 0.0000, 0.0000], [0.5000, 0.5000, 0.0000], [0.6352, 0.8176, 0.5000], [0.8176, 0.1824, 0.5000], [0.8176, 0.6352, 0.5000], [0.3333, 0.6667, 0.0000], [0.6667, 0.3333, 0.0000]]}

=====

Entry 21:
{"formula": "Tm8Sb2Pd", "functional": "GGA-PBE", "state": "optimized geometry", "dft_energy_ev_per_atom": -4.966, "lattice_angstrom": [[9.1316, -2.3338, 0.0000], [9.1316, 2.3338, 0.0000], [-0.6510, 0.0000, 7.0947]], "species": ["Tm", "Tm", "Tm", "Tm", "Tm", "Tm", "Tm", "Tm", "Sb", "Sb", "Pd"], "frac_coords": [[0.0053, 0.0053, 0.2364], [0.2142, 0.2142, 0.3530], [0.3520, 0.3520, 0.9536], [0.4041, 0.4041, 0.4746], [0.5959, 0.5959, 0.5254], [0.6480, 0.6480, 0.0464], [0.7858, 0.7858, 0.6470], [0.9947, 0.9947, 0.7636], [0.1802, 0.1802, 0.7810], [0.8198, 0.8198, 0.2190], [0.5000, 0.5000, 0.0000]]}

=====

Entry 22:
{"formula": "AcPm2F", "functional": "GGA-PBE", "state": "optimized geometry", "dft_energy_ev_per_atom": -4.822, "lattice_angstrom": [[1.9041, 1.0994, 9.8878], [-1.9041, 1.0994, 9.8878], [0.0000, -2.1987, 9.8878]], "species": ["Ac", "Pm", "Pm", "F"], "frac_coords": [[0.0000, 0.0000, 0.0000], [0.1209, 0.1209, 0.1209], [0.8791, 0.8791, 0.8791], [0.5000, 0.5000, 0.5000]]}

=====

Entry 23:
{"formula": "BaZr2W", "functional": "GGA-PBE", "state": "optimized geometry", "formation_energy_mev_per_atom": 874, "lattice_angstrom": [[0.0000, 3.6076, 3.6076], [3.6076, 0.0000, 3.6076], [3.6076, 3.6076, 0.0000]], "species": ["Ba", "Zr", "Zr", "W"], "frac_coords": [[0.0000, 0.0000, 0.0000], [0.2500, 0.2500, 0.2500], [0.7500, 0.7500, 0.7500], [0.5000, 0.5000, 0.5000]]}

=====

Entry 24:
{"formula": "TaPt2Au", "functional": "GGA-PBE", "state": "optimized geometry", "formation_energy_mev_per_atom": -287, "lattice_angstrom": [[2.8703, -4.0371, 0.0000], [2.8703, 4.0371, 0.0000], [0.0000, 0.0000, 2.8698]], "species": ["Ta", "Pt", "Pt", "Au"], "frac_coords": [[0.0000, 0.0000, 0.0000], [0.0000, 0.5000, 0.5000], [0.5000, 0.0000, 0.5000], [0.5000, 0.5000, 0.0000]]}